No. 1
Density functional theory data (PBE) for Ag8SnAu6 after structural relaxation.

Cell: 7.8066 7.8066 17.2153 Å, 90.00 90.00 120.00°
Closest atoms and distances in Å follow each position.
Space group R-3 (No. 148, hexagonal axes)
Unique sites:
1 Ag 0.0000 0.0000 0.1954 (multiplicity 6)  6 Ag 2.85-2.87, 3 Au 2.87
2 Ag 0.0122 0.3691 0.2125 (multiplicity 18)  4 Ag 2.85-2.89, 5 Au 2.87-3.02
3 Sn 0.0000 0.0000 0.0000 (multiplicity 3)  6 Au 2.84
4 Au 0.0033 0.6948 0.2877 (multiplicity 18)  1 Sn 2.84, 3 Au 2.85-3.15, 6 Ag 2.87-3.02

Output
DOS(E_F)   0.302 states/eV/atom
Formation energy   0.9 eV per formula unit

No. 2
Density functional theory data (PBE) for AgSn2Au9 after structural relaxation.

Cell: 5.4521 6.6967 7.4993 Å, 69.19 87.51 79.42°
Closest atoms and distances in Å follow each position.
Space group P-1 (No. 2)
Unique sites:
1 Ag 0.0000 0.0000 0.0000 (multiplicity 1)  8 Au 2.73-2.97
2 Sn 0.3689 0.5630 0.2637 (multiplicity 2)  6 Au 2.78-3.09
3 Au 0.1339 0.4185 0.8550 (multiplicity 2)  6 Au 2.82-3.00, 2 Sn 2.83-2.89, 1 Ag 2.84
4 Au 0.2129 0.1776 0.2507 (multiplicity 2)  7 Au 2.79-3.10, 1 Sn 2.90, 1 Ag 2.93
5 Au 0.2298 0.7649 0.5276 (multiplicity 2)  2 Sn 2.78-2.85, 6 Au 2.79-3.03
6 Au 0.2725 0.1275 0.6364 (multiplicity 2)  7 Au 2.82-3.10, 1 Ag 2.97
7 Au 0.5000 0.0000 0.0000 (multiplicity 1)  2 Ag 2.73, 6 Au 2.82-3.00

Output
DOS(E_F)   0.381 states/eV/atom
Formation energy   0.1 eV per formula unit

No. 3
Density functional theory data (PBE) for AgSnAu5 after structural relaxation.

Cell: 6.5685 8.2888 10.4859 Å, 90.00 107.41 90.00°
Closest atoms and distances in Å follow each position.
Space group C2/c (No. 15)
Unique sites:
1 Ag 0.0000 0.2215 0.2500 (multiplicity 4)  9 Au 2.90-3.09
2 Sn 0.2500 0.2500 0.0000 (multiplicity 4)  8 Au 2.81-3.01
3 Au 0.0000 0.1360 0.7500 (multiplicity 4)  2 Sn 2.81, 6 Au 2.81-3.05, 1 Ag 2.96
4 Au 0.1085 0.4623 0.6535 (multiplicity 8)  5 Au 2.80-3.05, 2 Ag 2.90-2.97, 1 Sn 2.99
5 Au 0.1832 0.1022 0.5413 (multiplicity 8)  5 Au 2.81-2.93, 2 Ag 2.92-3.09, 2 Sn 3.00-3.01

Output
DOS(E_F)   0.264 states/eV/atom
Formation energy   -0.1 eV per formula unit
Energy above the most stable polymorph in this dataset   0 meV per atom

No. 4
Density functional theory data (PBE) for Ag4Sn3Au4 after structural relaxation.

Cell: 4.8140 5.8921 16.3404 Å, 90.00 90.00 90.00°
Closest atoms and distances in Å follow each position.
Space group Immm (No. 71)
Unique sites:
1 Ag 0.0000 0.2485 0.1841 (multiplicity 8)  4 Au 2.82-3.01, 2 Ag 2.93-2.96, 2 Sn 3.05
2 Sn 0.0000 0.0000 0.5000 (multiplicity 2)  6 Au 2.76-2.86
3 Sn 0.0000 0.5000 0.3877 (multiplicity 4)  4 Ag 3.05, 6 Au 3.09-3.33
4 Au 0.0000 0.0000 0.3313 (multiplicity 4)  3 Sn 2.76-3.09, 6 Ag 2.82-2.84
5 Au 0.0000 0.2366 0.0000 (multiplicity 4)  2 Au 2.79-3.10, 2 Sn 2.86, 2 Ag 3.01

Output
DOS(E_F)   0.166 states/eV/atom
Formation energy   0.2 eV per formula unit

No. 5
Density functional theory data (PBE) for Ag7SnAu4 after structural relaxation.

Cell: 10.5081 5.1528 10.2253 Å, 90.00 119.36 90.00°
Closest atoms and distances in Å follow each position.
Space group C2/m (No. 12)
Unique sites:
1 Ag 0.0000 0.0000 0.0000 (multiplicity 2)  2 Sn 2.58, 2 Ag 2.75, 2 Au 2.85
2 Ag 0.1114 0.5000 0.4525 (multiplicity 4)  5 Au 2.81-2.94, 4 Ag 2.89-2.99
3 Ag 0.1523 0.0000 0.6160 (multiplicity 4)  5 Ag 2.78-2.99, 4 Au 2.84-2.98
4 Ag 0.2087 0.0000 0.9117 (multiplicity 4)  1 Sn 2.73, 4 Ag 2.75-3.02, 4 Au 2.85-2.91
5 Sn 0.0000 0.5000 0.0000 (multiplicity 2)  4 Ag 2.58-2.73
6 Au 0.0910 0.0000 0.3128 (multiplicity 4)  7 Ag 2.84-2.98, 1 Au 2.87
7 Au 0.1841 0.5000 0.7692 (multiplicity 4)  8 Ag 2.81-2.98, 1 Au 2.87

Output
DOS(E_F)   0.323 states/eV/atom
Formation energy   1.5 eV per formula unit
Energy above the most stable polymorph in this dataset   171 meV per atom

No. 6
Density functional theory data (PBE) for Ag2Sn4Au after structural relaxation.

Cell: 5.4715 5.4715 13.6139 Å, 90.00 90.00 90.00°
Closest atoms and distances in Å follow each position.
Space group I4/mmm (No. 139)
Unique sites:
1 Ag 0.0000 0.0000 0.1019 (multiplicity 4)  1 Sn 2.69, 1 Ag 2.77
2 Sn 0.0000 0.0000 0.2992 (multiplicity 4)  1 Ag 2.69, 1 Au 2.73
3 Sn 0.0000 0.5000 0.0000 (multiplicity 4)  2 Au 2.74
4 Au 0.0000 0.0000 0.5000 (multiplicity 2)  6 Sn 2.73-2.74

Output
DOS(E_F)   0.634 states/eV/atom
Formation energy   2.1 eV per formula unit
Energy above the most stable polymorph in this dataset   339 meV per atom

No. 7
Density functional theory data (PBE) for Ag5Sn2Au6 after structural relaxation.

Cell: 9.8490 12.3900 4.2189 Å, 90.00 90.00 90.00°
Closest atoms and distances in Å follow each position.
Space group Pbam (No. 55)
Unique sites:
1 Ag 0.0000 0.0000 0.0000 (multiplicity 2)  6 Au 2.69-2.86, 2 Ag 2.78
2 Ag 0.0700 0.2177 0.0000 (multiplicity 4)  1 Ag 2.78, 5 Au 2.83-3.07, 2 Sn 3.06
3 Ag 0.1181 0.5728 0.0000 (multiplicity 4)  7 Au 2.85-3.05, 2 Ag 2.94-3.19, 2 Sn 3.04
4 Sn 0.1508 0.7478 0.5000 (multiplicity 4)  4 Au 2.76-2.89, 4 Ag 3.04-3.06
5 Au 0.0784 0.3979 0.5000 (multiplicity 4)  4 Au 2.86-3.19, 6 Ag 2.89-3.07, 1 Sn 2.89
6 Au 0.1770 0.0662 0.5000 (multiplicity 4)  1 Sn 2.82, 6 Ag 2.86-3.01
7 Au 0.2266 0.8785 0.0000 (multiplicity 4)  3 Ag 2.69-2.85, 2 Sn 2.76, 2 Au 2.86

Output
DOS(E_F)   0.201 states/eV/atom
Formation energy   0.1 eV per formula unit

No. 8
Density functional theory data (PBE) for Ag5SnAu2 after structural relaxation.

Cell: 5.8209 11.8386 4.3304 Å, 90.00 90.00 90.00°
Closest atoms and distances in Å follow each position.
Space group Pbam (No. 55)
Unique sites:
1 Ag 0.0000 0.0000 0.0000 (multiplicity 2)  2 Sn 2.91, 6 Ag 2.95-2.97, 4 Au 3.04
2 Ag 0.0235 0.2490 0.0000 (multiplicity 4)  7 Ag 2.91-2.97, 4 Au 2.97-3.03, 1 Sn 2.97
3 Ag 0.2286 0.8703 0.5000 (multiplicity 4)  4 Au 2.87-3.02, 6 Ag 2.97, 2 Sn 3.09
4 Sn 0.0000 0.5000 0.0000 (multiplicity 2)  8 Ag 2.91-3.09, 4 Au 2.96
5 Au 0.2356 0.6244 0.5000 (multiplicity 4)  10 Ag 2.87-3.04, 2 Sn 2.96

Output
DOS(E_F)   0.302 states/eV/atom
Formation energy   -0.3 eV per formula unit

No. 9
Density functional theory data (PBE) for Ag2Sn4Au after structural relaxation.

Cell: 13.3139 4.5287 5.8667 Å, 90.00 107.65 90.00°
Closest atoms and distances in Å follow each position.
Space group C2/m (No. 12)
Unique sites:
1 Ag 0.2189 0.0000 0.3365 (multiplicity 4)  2 Ag 2.92, 7 Sn 2.93-3.08, 1 Au 2.98
2 Sn 0.0593 0.5000 0.3157 (multiplicity 4)  2 Au 2.88, 3 Ag 3.04-3.08, 1 Sn 3.04
3 Sn 0.1737 0.0000 0.8163 (multiplicity 4)  1 Au 2.83, 4 Ag 2.93-3.05
4 Au 0.0000 0.0000 0.0000 (multiplicity 2)  6 Sn 2.83-2.88, 2 Ag 2.98

Output
DOS(E_F)   0.376 states/eV/atom
Formation energy   -0.3 eV per formula unit
Energy above the most stable polymorph in this dataset   0 meV per atom

No. 10
Density functional theory data (PBE) for AgSn2Au after structural relaxation.

Cell: 9.5495 5.8903 7.2519 Å, 90.00 113.89 90.00°
Closest atoms and distances in Å follow each position.
Space group C2/c (No. 15)
Unique sites:
1 Ag 0.0000 0.2340 0.2500 (multiplicity 4)  6 Sn 2.89-3.05, 2 Au 2.89-3.00
2 Sn 0.2127 0.4915 0.1106 (multiplicity 8)  3 Ag 2.89-3.05, 3 Au 2.91-3.00
3 Au 0.0000 0.2570 0.7500 (multiplicity 4)  2 Ag 2.89-3.00, 6 Sn 2.91-3.00

Output
DOS(E_F)   0.356 states/eV/atom
Formation energy   -0.1 eV per formula unit
Energy above the most stable polymorph in this dataset   42 meV per atom

No. 11
Density functional theory data (PBE) for Ag7SnAu12 after structural relaxation.

Cell: 9.9809 9.9809 13.4752 Å, 90.00 90.00 120.00°
Closest atoms and distances in Å follow each position.
Space group R-3 (No. 148, hexagonal axes)
Unique sites:
1 Ag 0.0000 0.0000 0.0000 (multiplicity 3)  6 Au 2.75
2 Ag 0.0523 0.8644 0.2972 (multiplicity 18)  3 Ag 2.82-2.90, 4 Au 2.84-3.07
3 Sn 0.0000 0.0000 0.5000 (multiplicity 3)  6 Au 2.84
4 Au 0.0207 0.5717 0.2113 (multiplicity 18)  6 Au 2.77-3.03, 1 Sn 2.84, 2 Ag 2.95-3.01
5 Au 0.0478 0.4638 0.5881 (multiplicity 18)  3 Ag 2.75-3.07, 5 Au 2.77-3.03

Output
DOS(E_F)   0.367 states/eV/atom
Formation energy   1.1 eV per formula unit

No. 12
Density functional theory data (PBE) for Ag6SnAu2 after structural relaxation.

Cell: 10.8919 9.9941 7.5911 Å, 90.00 125.03 90.00°
Closest atoms and distances in Å follow each position.
Space group C2/c (No. 15)
Unique sites:
1 Ag 0.0470 0.1272 0.4705 (multiplicity 8)  7 Ag 2.80-3.13, 3 Au 2.87-2.99
2 Ag 0.1063 0.3990 0.1913 (multiplicity 8)  8 Ag 2.85-3.19, 2 Sn 2.91-2.99, 1 Au 2.95
3 Ag 0.2324 0.3535 0.6345 (multiplicity 8)  8 Ag 2.80-3.08, 2 Au 2.85-2.89, 1 Sn 3.12
4 Sn 0.0000 0.3397 0.7500 (multiplicity 4)  4 Au 2.84-2.92, 6 Ag 2.91-3.12
5 Au 0.1812 0.1073 0.9310 (multiplicity 8)  2 Sn 2.84-2.92, 6 Ag 2.85-2.99, 1 Au 3.11

Output
DOS(E_F)   0.310 states/eV/atom
Formation energy   0.1 eV per formula unit